Record 1
Crystalline NaAlSnHg at its relaxed geometry. Source: Alexandria via LeMat-Bulk, functional GGA-PBE.

Values from the calculation:
**Crystal system**: cubic
**Energy of formation from the pure elements**: -0.03 eV/atom

Cell lengths 7.162, 7.162, 7.162 Å; angles 90.00, 90.00, 90.00 degrees
Space group F-43m (No. 216)
One atom of each set of equivalent atoms:
Na1 0.000 0.000 0.000 (multiplicity 4)
Al1 0.000 0.000 0.500 (multiplicity 4)
Sn1 0.250 0.250 0.750 (multiplicity 4)
Hg1 0.250 0.250 0.250 (multiplicity 4)

***

Record 2
Crystalline YCdPb4 at its relaxed geometry. Source: Alexandria via LeMat-Bulk, functional GGA-PBE.

Values from the calculation:
**Crystal system**: cubic
**Energy of formation from the pure elements**: 0.05 eV/atom

Cell lengths 9.101, 9.101, 9.101 Å; angles 90.00, 90.00, 90.00 degrees
Space group F-43m (No. 216)
One atom of each set of equivalent atoms:
Y1 0.000 0.000 0.000 (multiplicity 4)
Cd1 0.250 0.250 0.750 (multiplicity 4)
Pb1 0.126 0.126 0.374 (multiplicity 16)